Entry 1:
A geometry-optimized LiFeN2 structure. Source: Alexandria via LeMat-Bulk, functional PBE-GGA.

The structure in POSCAR format:
```
LiFeN2
1.0
4.5693 0.0000 0.0000
0.0000 4.5693 0.0000
0.0000 0.0000 8.1497
Li Fe N
4 4 8
Direct
0.0000 0.0000 0.0000 Li
0.0000 0.5000 0.2500 Li
0.5000 0.0000 0.7500 Li
0.5000 0.5000 0.5000 Li
0.0000 0.0000 0.5000 Fe
0.0000 0.5000 0.7500 Fe
0.5000 0.0000 0.2500 Fe
0.5000 0.5000 0.0000 Fe
0.1847 0.2500 0.6250 N
0.2500 0.6847 0.8750 N
0.2500 0.8153 0.3750 N
0.3153 0.2500 0.1250 N
0.6847 0.7500 0.1250 N
0.7500 0.1847 0.3750 N
0.7500 0.3153 0.8750 N
0.8153 0.7500 0.6250 N
```

Properties
Offset from the most stable computed form (meV/atom): 0
Spin magnetization (Bohr magnetons per cell): 0.000
Formation energy without anion corrections (eV/atom): -0.1463
Calculated total energy (eV/f.u.): -27.61
Symmetry: I-42d (122)



Entry 2:
A geometry-optimized LiFeN structure. Source: Alexandria via LeMat-Bulk, functional PBE-GGA.

The structure in POSCAR format:
```
LiFeN
1.0
2.4877 0.0000 0.0000
0.0000 2.4877 0.0000
0.0000 0.0000 19.1546
Li Fe N
4 4 4
Direct
0.0000 0.0000 0.0760 Li
0.0000 0.0000 0.9240 Li
0.5000 0.5000 0.4240 Li
0.5000 0.5000 0.5760 Li
0.0000 0.0000 0.1946 Fe
0.0000 0.0000 0.8054 Fe
0.5000 0.5000 0.3054 Fe
0.5000 0.5000 0.6946 Fe
0.0000 0.0000 0.3497 N
0.0000 0.0000 0.6503 N
0.5000 0.5000 0.1503 N
0.5000 0.5000 0.8497 N
```

Properties
Spin magnetization (Bohr magnetons per cell): 0.000
Formation energy without anion corrections (eV/atom): 0.0167
Calculated total energy (eV/f.u.): -18.65
Symmetry: I4/mmm (139)



Entry 3:
A geometry-optimized LiFeN structure. Source: Alexandria via LeMat-Bulk, functional PBE-GGA.

The structure in POSCAR format:
```
LiFeN
1.0
9.7481 0.0000 0.0000
0.0000 2.7721 0.0000
-1.8922 0.0000 4.4498
Li Fe N
4 4 4
Direct
0.0000 0.0000 0.0000 Li
0.2412 0.5000 0.0429 Li
0.5000 0.5000 0.0000 Li
0.7412 0.0000 0.0429 Li
0.2458 0.0000 0.5485 Fe
0.4955 0.0000 0.5271 Fe
0.7458 0.5000 0.5485 Fe
0.9955 0.5000 0.5271 Fe
0.1246 0.0000 0.7493 N
0.3522 0.5000 0.5040 N
0.6246 0.5000 0.7493 N
0.8522 0.0000 0.5040 N
```

Properties
Spin magnetization (Bohr magnetons per cell): 0.000
Formation energy without anion corrections (eV/atom): -0.2291
Calculated total energy (eV/f.u.): -19.39
Symmetry: Cm (8)



Entry 4:
A geometry-optimized LiFeN structure. Source: Alexandria via LeMat-Bulk, functional PBE-GGA.

The structure in POSCAR format:
```
LiFeN
1.0
3.1073 0.0000 0.0000
-1.5536 2.6910 0.0000
0.0000 0.0000 4.1443
Li Fe N
1 1 1
Direct
0.0000 0.0000 0.0000 Li
0.3333 0.6667 0.5000 Fe
0.0000 0.0000 0.5000 N
```

Properties
Spin magnetization (Bohr magnetons per cell): 0.522
Formation energy without anion corrections (eV/atom): -0.1407
Calculated total energy (eV/f.u.): -19.12
Symmetry: P-6m2 (187)



Entry 5:
A geometry-optimized LiFeN structure. Source: Alexandria via LeMat-Bulk, functional PBE-GGA.

The structure in POSCAR format:
```
LiFeN
1.0
2.9591 0.0000 0.0000
-1.4796 2.5627 0.0000
0.0000 0.0000 12.8866
Li Fe N
3 3 3
Direct
0.0000 0.0000 0.0000 Li
0.3333 0.6667 0.6667 Li
0.6667 0.3333 0.3333 Li
0.0000 0.0000 0.4861 Fe
0.3333 0.6667 0.1527 Fe
0.6667 0.3333 0.8194 Fe
0.0000 0.0000 0.7818 N
0.3333 0.6667 0.4485 N
0.6667 0.3333 0.1151 N
```

Properties
Spin magnetization (Bohr magnetons per cell): 0.000
Formation energy without anion corrections (eV/atom): -0.2892
Calculated total energy (eV/f.u.): -19.57
Symmetry: R3m (160)



Entry 6:
A geometry-optimized LiFeN structure. Source: Alexandria via LeMat-Bulk, functional PBE-GGA.

The structure in POSCAR format:
```
LiFeN
1.0
10.1683 0.0000 0.0000
0.0000 2.9140 0.0000
-0.5131 0.0000 3.9815
Li Fe N
4 4 4
Direct
0.0000 0.0000 0.0000 Li
0.0717 0.5000 0.5074 Li
0.5000 0.5000 0.0000 Li
0.5717 0.0000 0.5074 Li
0.2592 0.0000 0.8888 Fe
0.2967 0.5000 0.3483 Fe
0.7592 0.5000 0.8888 Fe
0.7967 0.0000 0.3483 Fe
0.1582 0.5000 0.9847 N
0.3947 0.0000 0.2565 N
0.6582 0.0000 0.9847 N
0.8947 0.5000 0.2565 N
```

Properties
Spin magnetization (Bohr magnetons per cell): 0.000
Formation energy without anion corrections (eV/atom): -0.2181
Calculated total energy (eV/f.u.): -19.36
Symmetry: Cm (8)